Computed, not measured: a geometry-optimized RbPuFeO4 structure at the PBE with a Hubbard U level of DFT.

Values from the calculation:
total energy	-7.879	eV per atom
total moment	7.00	μB per formula unit

abc: 7.1627 7.7594 8.4326
angles: 90.00 90.00 90.00
Space group Imma (No. 74)
Asymmetric unit:
Rb 0.0000 0.2500 0.1659 x4
Pu 0.2500 0.2500 0.7500 x4
Fe 0.0000 0.0000 0.5000 x4
O 0.0000 0.0695 0.7370 x8
O 0.2022 0.2500 0.5169 x8